[1]
Crystalline NaP2H5O6 at its relaxed geometry, computed with PBE.

Calculated values
Volume ... 10.8 A^3/atom
Fermi-level density of states ... 0.0 states/eV/f.u.

Cell lengths 10.3251, 5.9444, 9.8498 Å; angles 90.00, 90.67, 90.00 degrees
Space group Cc (No. 9)
Symmetry-distinct sites (fractional):
Na1 0.0000 0.0211 0.0000 x4
P1 0.1629 0.4966 0.6040 x4
P2 0.3276 0.0018 0.9042 x4
H1 0.1604 0.1778 0.7408 x4
H2 0.1686 0.4895 0.4623 x4
H3 0.3251 0.3489 0.2381 x4
H4 0.3338 0.0075 0.0464 x4
H5 0.4849 0.1664 0.7767 x4
O1 0.0635 0.3321 0.1486 x4
O2 0.1303 0.2478 0.6427 x4
O3 0.1918 0.0807 0.8624 x4
O4 0.3058 0.4453 0.1483 x4
O5 0.3659 0.2336 0.3574 x4
O6 0.4341 0.1838 0.8665 x4

=====

[2]
Crystalline AlTcBr at its relaxed geometry, computed with PBE.

Calculated values
Volume ... 17.7 A^3/atom
Fermi-level density of states ... 3.0 states/eV/f.u.
Raw formation energy ... 0.2573 eV per atom

Cell lengths 3.2012, 3.2012, 5.9808 Å; angles 90.00, 90.00, 120.00 degrees
Space group P3m1 (No. 156)
Symmetry-distinct sites (fractional):
Al1 0.0000 0.0000 0.0000 x1
Tc1 0.3333 0.6667 0.7101 x1
Br1 0.6667 0.3333 0.3766 x1

=====

[3]
Crystalline CdHgN3 at its relaxed geometry, computed with PBE.

Calculated values
Volume ... 15.4 A^3/atom
Fermi-level density of states ... 2.0 states/eV/f.u.
Raw formation energy ... 2.3942 eV per atom

Cell lengths 4.2572, 4.2572, 4.2572 Å; angles 90.00, 90.00, 90.00 degrees
Space group Pm-3m (No. 221)
Symmetry-distinct sites (fractional):
Cd1 0.0000 0.0000 0.0000 x1
Hg1 0.5000 0.5000 0.5000 x1
N1 0.0000 0.5000 0.5000 x3

=====

[4]
Crystalline Rb3Na5As3 at its relaxed geometry, computed with PBE.

Calculated values
Formation enthalpy at 0 K ... -0.266 eV per atom
Volume ... 43.6 A^3/atom
Fermi-level density of states ... 11.5 states/eV/f.u.

Cell lengths 9.0704, 9.0704, 6.7382 Å; angles 90.00, 90.00, 120.00 degrees
Space group P-62m (No. 189)
Symmetry-distinct sites (fractional):
Rb1 0.0000 0.3468 0.0000 x3
Na1 0.0000 0.7248 0.5000 x3
Na2 0.3333 0.6667 0.5000 x2
As1 0.0000 0.3636 0.5000 x3

=====

[5]
Crystalline BaMgTlGa at its relaxed geometry, computed with PBE.

Calculated values
Formation enthalpy at 0 K ... -0.221 eV per atom
Volume ... 29.3 A^3/atom
Fermi-level density of states ... 1.6 states/eV/f.u.

Cell lengths 7.7677, 7.7677, 7.7677 Å; angles 90.00, 90.00, 90.00 degrees
Space group F-43m (No. 216)
Symmetry-distinct sites (fractional):
Ba1 0.0000 0.0000 0.0000 x4
Mg1 0.0000 0.0000 0.5000 x4
Tl1 0.2500 0.2500 0.2500 x4
Ga1 0.2500 0.2500 0.7500 x4

=====

[6]
Crystalline La2Zr2Cu at its relaxed geometry, computed with PBE.

Calculated values
Formation enthalpy at 0 K ... 0.199 eV per atom
Volume ... 26.7 A^3/atom
Fermi-level density of states ... 6.7 states/eV/f.u.

Cell lengths 7.1420, 7.1420, 5.2353 Å; angles 90.00, 90.00, 90.00 degrees
Space group P4/mbm (No. 127)
Symmetry-distinct sites (fractional):
La1 0.1669 0.3331 0.0000 x4
Zr1 0.1477 0.6477 0.5000 x4
Cu1 0.0000 0.0000 0.5000 x2

=====

[7]
Crystalline Ac2La3Dy6 at its relaxed geometry, computed with PBE.

Calculated values
Formation enthalpy at 0 K ... 0.182 eV per atom
Volume ... 37.1 A^3/atom
Fermi-level density of states ... 14.2 states/eV/f.u.

Cell lengths 6.3022, 10.9329, 12.0412 Å; angles 90.00, 100.06, 90.00 degrees
Space group C2/m (No. 12)
Symmetry-distinct sites (fractional):
Ac1 0.0000 0.1667 0.0000 x4
La1 0.0000 0.0000 0.5000 x2
La2 0.0000 0.3353 0.5000 x4
Dy1 0.2466 0.5000 0.7442 x4
Dy2 0.2483 0.1661 0.7445 x8

=====

[8]
Crystalline Er2MgGa2Rh5 at its relaxed geometry, computed with PBE.

Calculated values
Formation enthalpy at 0 K ... -0.765 eV per atom
Volume ... 17.0 A^3/atom
Fermi-level density of states ... 4.6 states/eV/f.u.

Cell lengths 9.8379, 9.8379, 3.5144 Å; angles 90.00, 90.00, 90.00 degrees
Space group P4/mbm (No. 127)
Symmetry-distinct sites (fractional):
Er1 0.1732 0.3268 0.0000 x4
Mg1 0.0000 0.0000 0.0000 x2
Ga1 0.1255 0.6255 0.0000 x4
Rh1 0.0000 0.5000 0.5000 x2
Rh2 0.0686 0.7951 0.5000 x8

=====

no.,raw total energy (eV/atom),total magnetization (μB per atom)
1,-5.671,0.00
2,-5.003,0.00
3,-2.844,0.64
4,-2.397,0.01
5,-2.448,0.00
6,-6.011,0.00
7,-4.419,0.00
8,-6.118,0.00